DFT (PBE) results for a relaxed Ba2TlPtS6 crystal.

Structure (extended XYZ):
```
10
Lattice="0.000 5.034 5.034 5.034 0.000 5.034 5.034 5.034 0.000" Properties=species:S:1:pos:R:3 pbc="T T T"
Ba 2.517 2.517 2.517
Ba 7.551 7.551 7.551
Tl 0.000 0.000 0.000
Pt 5.034 5.034 5.034
S 5.034 5.034 2.652
S 5.034 2.652 5.034
S 7.417 5.034 5.034
S 2.652 5.034 5.034
S 5.034 7.417 5.034
S 5.034 5.034 7.417
```

Output
- Size of the total moment: 0.0 μB per cell
- Space group: Fm-3m
- E: -4.40 eV per atom

***

DFT (PBE) results for a relaxed Er2TmFe7Co2 crystal.

Structure (extended XYZ):
```
12
Lattice="2.499 1.443 8.091 -2.499 1.443 8.091 0.000 -2.885 8.091" Properties=species:S:1:pos:R:3 pbc="T T T"
Er 0.000 0.000 3.446
Er 0.000 0.000 20.826
Tm 0.000 0.000 0.000
Fe -1.248 -0.721 10.076
Fe 0.000 -1.441 14.197
Fe -1.248 0.721 14.197
Fe 0.000 0.000 12.136
Fe 1.248 -0.721 10.076
Fe 0.000 1.441 10.076
Fe 1.248 0.721 14.197
Co 0.000 0.000 8.073
Co 0.000 0.000 16.199
```

Output
- Size of the total moment: 16.1 μB per cell
- Space group: R-3m
- ΔH_f (0 K): -0.12 eV/atom
- E: -7.29 eV per atom

***

DFT (PBE) results for a relaxed TaAgO3 crystal.

Structure (extended XYZ):
```
10
Lattice="2.697 1.557 5.284 -2.697 1.557 5.284 0.000 -3.114 5.284" Properties=species:S:1:pos:R:3 pbc="T T T"
Ta 0.000 0.000 2.448
Ta 0.000 0.000 13.404
Ag 0.000 0.000 5.792
Ag 0.000 0.000 10.059
O -2.130 -0.048 6.808
O -1.023 -1.868 9.043
O 1.106 -1.820 6.808
O -1.106 1.820 9.043
O 1.023 1.868 6.808
O 2.130 0.048 9.043
```

Output
- Size of the total moment: 0.0 μB per cell
- Space group: R-3
- E: -7.89 eV per atom

***

DFT (PBE) results for a relaxed Ta8W5 crystal.

Structure (extended XYZ):
```
13
Lattice="2.687 1.552 9.340 -2.687 1.552 9.340 0.000 -3.103 9.340" Properties=species:S:1:pos:R:3 pbc="T T T"
Ta -1.355 -0.783 11.815
Ta 0.000 0.000 4.158
Ta 0.000 -1.565 16.206
Ta -1.355 0.783 16.206
Ta 1.355 -0.783 11.815
Ta 0.000 1.565 11.815
Ta 0.000 0.000 23.863
Ta 1.355 0.783 16.206
W 0.000 0.000 1.254
W 0.000 0.000 9.309
W 0.000 0.000 14.010
W 0.000 0.000 18.712
W 0.000 0.000 26.766
```

Output
- Offset from the most stable computed form: 0.000 eV per atom
- Size of the total moment: 0.0 μB per cell
- Space group: R-3m
- ΔH_f (0 K): 0.23 eV/atom
- E: -12.05 eV per atom